(1)
Below is an optimized crystal structure of Zr3CuSi5, with properties calculated at the GGA-PBE level.

Cell: 5.797 5.797 6.639 Å, 90.00 90.00 120.00°
Atoms (fractional coordinates):
1 Zr 0.000 0.500 0.000
2 Zr 0.500 0.000 0.000
3 Zr 0.500 0.500 0.000
4 Cu 0.000 0.000 0.500
5 Si 0.000 0.000 0.000
6 Si 0.333 0.667 0.331
7 Si 0.333 0.667 0.669
8 Si 0.667 0.333 0.331
9 Si 0.667 0.333 0.669

**Total energy**: -5.939 eV/atom

=====

(2)
Below is an optimized crystal structure of Zr2Cu2Si, with properties calculated at the GGA-PBE level.

Cell: 4.317 4.317 10.143 Å, 90.00 90.00 90.00°
Atoms (fractional coordinates):
1 Zr 0.000 0.500 0.250
2 Zr 0.000 0.500 0.750
3 Zr 0.500 0.000 0.250
4 Zr 0.500 0.000 0.750
5 Cu 0.000 0.000 0.105
6 Cu 0.000 0.000 0.895
7 Cu 0.500 0.500 0.395
8 Cu 0.500 0.500 0.605
9 Si 0.000 0.000 0.500
10 Si 0.500 0.500 0.000

**Distance to the lowest polymorph of the same formula**: 7.65 kcal/mol of atoms

=====

(3)
Below is an optimized crystal structure of Zr2CuSi4, with properties calculated at the GGA-PBE level.

Cell: 16.615 16.615 3.684 Å, 90.00 90.00 167.21°
Atoms (fractional coordinates):
1 Zr 0.047 0.953 0.750
2 Zr 0.324 0.676 0.750
3 Zr 0.676 0.324 0.250
4 Zr 0.953 0.047 0.250
5 Cu 0.250 0.750 0.250
6 Cu 0.750 0.250 0.750
7 Si 0.113 0.887 0.250
8 Si 0.203 0.797 0.750
9 Si 0.388 0.612 0.250
10 Si 0.476 0.524 0.750
11 Si 0.524 0.476 0.250
12 Si 0.612 0.388 0.750
13 Si 0.797 0.203 0.250
14 Si 0.887 0.113 0.750

**Total energy**: -6.662 eV/atom

=====

What did the second record say?
Below is an optimized crystal structure of Zr2Cu2Si, with properties calculated at the GGA-PBE level.

Cell: 4.317 4.317 10.143 Å, 90.00 90.00 90.00°
Atoms (fractional coordinates):
1 Zr 0.000 0.500 0.250
2 Zr 0.000 0.500 0.750
3 Zr 0.500 0.000 0.250
4 Zr 0.500 0.000 0.750
5 Cu 0.000 0.000 0.105
6 Cu 0.000 0.000 0.895
7 Cu 0.500 0.500 0.395
8 Cu 0.500 0.500 0.605
9 Si 0.000 0.000 0.500
10 Si 0.500 0.500 0.000

**Distance to the lowest polymorph of the same formula**: 7.65 kcal/mol of atoms